Density functional theory data (PBE-GGA) for crystalline ScTa2Cu at its relaxed geometry.

Summary:
Symmetry   No. 99
Magnetization   0.00 μB/atom
Formation enthalpy at 0 K   103 meV per atom

Geometry as POSCAR:
```
ScTa2Cu
1.0
-1.608 -1.721 -2.401
1.468 -2.838 1.050
-4.846 -1.033 3.986
Cu Sc Ta
1 1 2
Cartesian
-2.363 -0.504 1.944
-3.653 -3.043 2.272
-0.124 -0.026 0.102
-1.268 -2.535 0.310
```

Density functional theory data (PBE-GGA) for crystalline NdScS at its relaxed geometry.

Summary:
Symmetry   No. 156
Magnetization   0.03 μB/atom
Energy relative to the elements, uncorrected   -1.1824 eV/atom

Geometry as POSCAR:
```
NdScS
1.0
6.239 0.000 0.000
0.000 3.745 0.000
0.000 -1.872 3.243
Sc S Nd
1 1 1
Cartesian
0.543 0.000 0.000
1.927 0.000 2.162
3.769 1.872 1.081
```

Density functional theory data (PBE-GGA) for crystalline Ba3MgBe at its relaxed geometry.

Summary:
Symmetry   No. 221
Magnetization   0.17 μB/atom
Formation enthalpy at 0 K   391 meV per atom

Geometry as POSCAR:
```
Ba3MgBe
1.0
6.265 0.000 0.000
0.000 6.265 0.000
0.000 0.000 6.265
Be Mg Ba
1 1 3
Cartesian
0.000 0.000 0.000
3.133 3.133 3.133
0.000 3.133 0.000
0.000 0.000 3.133
3.133 0.000 0.000
```

Density functional theory data (PBE-GGA) for crystalline PtRh2Au at its relaxed geometry.

Summary:
Symmetry   No. 47
Magnetization   0.00 μB/atom
Formation enthalpy at 0 K   224 meV per atom

Geometry as POSCAR:
```
PtRh2Au
1.0
2.784 0.000 0.000
0.000 4.747 0.000
0.000 0.000 4.753
Pt Rh Au
1 2 1
Cartesian
0.000 2.373 2.376
0.000 0.000 0.000
1.392 0.000 2.376
1.392 2.373 0.000
```

Density functional theory data (PBE-GGA) for crystalline MnTc2TeRu at its relaxed geometry.

Summary:
Symmetry   No. 123
Magnetization   0.00 μB/atom
Energy relative to the elements, uncorrected   1.1463 eV/atom

Geometry as POSCAR:
```
MnTc2TeRu
1.0
-0.402 2.710 -3.530
-4.085 1.193 1.381
1.778 3.347 2.367
Ru Te Tc Mn
1 1 2 1
Cartesian
-2.043 0.596 0.691
-1.355 3.625 0.109
0.889 1.674 1.183
-0.201 1.355 -1.765
0.000 0.000 0.000
```

Density functional theory data (PBE-GGA) for crystalline Ba2CaCdAu6 at its relaxed geometry.

Summary:
Symmetry   No. 225
Magnetization   0.00 μB/atom
Formation enthalpy at 0 K   -294 meV per atom

Geometry as POSCAR:
```
Ba2CaCdAu6
1.0
-4.296 5.691 -2.904
-5.444 -1.430 5.253
-2.506 5.655 4.584
Ba Ca Cd Au
2 1 1 6
Cartesian
-6.410 3.178 5.506
-5.837 6.738 1.428
-4.870 2.130 1.175
0.000 0.000 0.000
-5.163 0.315 3.254
-7.353 3.216 1.773
-3.665 3.927 2.913
-4.578 3.945 -0.904
-2.388 1.044 0.576
-8.582 5.988 4.021
```

Density functional theory data (PBE-GGA) for crystalline NpPaOs4 at its relaxed geometry.

Summary:
Symmetry   No. 216
Magnetization   0.50 μB/atom
Formation enthalpy at 0 K   -131 meV per atom

Geometry as POSCAR:
```
NpPaOs4
1.0
5.348 0.000 0.000
2.674 4.631 0.000
2.674 1.544 4.366
Np Pa Os
1 1 4
Cartesian
0.000 0.000 0.000
2.674 1.544 1.092
5.348 3.087 0.541
5.348 1.539 2.730
6.688 3.861 2.730
4.007 3.861 2.730
```

Density functional theory data (PBE-GGA) for crystalline PmAg4Au2 at its relaxed geometry.

Summary:
Symmetry   No. 136
Magnetization   0.00 μB/atom
Formation enthalpy at 0 K   -233 meV per atom

Geometry as POSCAR:
```
PmAg4Au2
1.0
-1.825 3.880 1.649
-4.378 0.760 -6.636
-5.878 -4.208 3.396
Pm Ag Au
2 8 4
Cartesian
-0.913 1.940 0.824
-5.128 -1.724 -1.620
-2.604 -1.443 0.511
-7.652 -2.005 -3.752
-5.091 -0.516 1.977
-6.990 0.947 -3.569
-7.696 -1.392 1.154
-4.385 1.823 -2.746
-2.224 -0.181 -2.037
-8.032 -3.267 -1.204
-5.582 -3.229 1.418
-4.674 -0.219 -4.659
-8.062 -0.464 -1.435
-4.019 0.895 -0.157
```

Density functional theory data (PBE-GGA) for crystalline Sc2FeIrRh at its relaxed geometry.

Summary:
Symmetry   No. 123
Magnetization   0.62 μB/atom
Formation enthalpy at 0 K   605 meV per atom

Geometry as POSCAR:
```
Sc2FeIrRh
1.0
-4.554 1.604 -0.503
-0.546 -0.070 4.713
1.586 4.582 0.251
Sc Ir Rh Fe
2 1 1 1
Cartesian
0.793 2.291 0.126
-2.277 0.802 -0.252
-0.273 -0.035 2.357
0.000 0.000 0.000
-1.757 3.058 2.231
```

Number 1: total DFT energy (no corrections) -33.72 eV/cell. Number 2: total DFT energy (no corrections) -18.77 eV/cell. Number 3: total DFT energy (no corrections) -9.13 eV/cell. Number 4: total DFT energy (no corrections) -23.13 eV/cell. Number 5: total DFT energy (no corrections) -36.59 eV/cell. Number 6: total DFT energy (no corrections) -29.37 eV/cell. Number 7: total DFT energy (no corrections) -68.14 eV/cell. Number 8: total DFT energy (no corrections) -48.68 eV/cell. Number 9: total DFT energy (no corrections) -34.31 eV/cell.